Entry 1:
Material: FeOs2Cl
Method: DFT, PBE-GGA
State: optimized geometry

Summary:
Crystal system ... tetragonal
Density of states at the Fermi level ... 9.045 states/eV per cell
Energy relative to the elements, uncorrected ... 1.48 eV per atom
M_tot ... 0.00 μB per formula unit
Density ... 10.66 g cm⁻³

```
FeOs2Cl
1.0
5.5562 0.0000 0.0000
0.0000 5.5562 0.0000
2.7781 2.7781 4.7611
Os Fe Cl
4 2 2
Cartesian
4.2623 1.3890 1.1903
1.2939 4.1671 1.1903
4.1671 4.0720 3.5708
6.9452 7.0404 3.5708
0.0000 0.0000 0.0000
5.5562 2.7781 2.3806
2.7781 2.7781 0.0000
2.7781 5.5562 2.3806
```

Entry 2:
Material: Rb2FeOsCl6
Method: DFT, PBE-GGA
State: optimized geometry

Summary:
Crystal system ... tetragonal
Density of states at the Fermi level ... 4.668 states/eV per cell
Energy relative to the elements, uncorrected ... -0.85 eV per atom
M_tot ... 4.00 μB per formula unit
Density ... 4.34 g cm⁻³

```
Rb2FeOsCl6
1.0
-3.4868 -2.9194 5.6879
-4.7957 -3.0903 -4.5260
-1.5013 -6.6966 0.3044
Os Fe Rb Cl
1 1 2 6
Cartesian
0.0000 0.0000 0.0000
-4.1412 -3.0049 0.5809
-4.5647 -6.3104 3.2866
-5.2191 -6.3959 -1.8203
-2.8515 -4.8084 0.4459
-6.9323 -7.8979 1.0205
-1.9720 -1.4309 0.2766
-6.3105 -4.5789 0.8853
-3.7984 -2.9601 3.2560
-4.4840 -3.0496 -2.0941
```

Entry 3:
Material: FeReOs2Cl
Method: DFT, PBE-GGA
State: optimized geometry

Summary:
Crystal system ... tetragonal
Density of states at the Fermi level ... 6.100 states/eV per cell
Energy relative to the elements, uncorrected ... 1.93 eV per atom
M_tot ... 3.01 μB per formula unit
Density ... 13.88 g cm⁻³

```
FeReOs2Cl
1.0
-1.6303 2.5516 3.0350
0.4699 -3.1301 2.8840
3.9371 1.4311 0.9117
Re Os Fe Cl
1 2 1 1
Cartesian
0.2350 -1.5650 1.4420
1.9685 0.7155 0.4558
-0.8151 1.2758 1.5175
1.3884 0.4263 3.4153
0.0000 0.0000 0.0000
```

Entry 4:
Material: SrFe2OsCl
Method: DFT, PBE-GGA
State: optimized geometry

Summary:
Crystal system ... tetragonal
Density of states at the Fermi level ... 7.154 states/eV per cell
Energy relative to the elements, uncorrected ... 2.64 eV per atom
M_tot ... 9.15 μB per formula unit
Density ... 4.82 g cm⁻³

```
SrFe2OsCl
1.0
5.1901 0.0000 0.0000
0.0000 5.4338 0.0000
0.0000 0.0000 5.1901
Sr Os Fe Cl
1 1 2 1
Cartesian
0.0000 0.0000 0.0000
0.0000 2.7169 0.0000
0.0000 0.0000 2.5950
2.5950 0.0000 0.0000
2.5950 2.7169 2.5950
```